[1]
Tb3Dy2Al: relaxed, PBE.

Results
Fermi-level density of states = 7.61 states/eV/f.u.
V = 28.8 Å³/atom
formation energy from the elements = -8.9 kJ/mol of atoms

CIF file:
```
data_Tb3Dy2Al
_chemical_formula_sum 'Tb6 Dy4 Al2'
_symmetry_space_group_name_H-M 'C m m m'
_symmetry_Int_Tables_number 65
_symmetry_space_group_name_Hall '-C 2 2'
_cell_length_a 4.810
_cell_length_b 14.899
_cell_length_c 4.820
_cell_angle_alpha 90.00
_cell_angle_beta 90.00
_cell_angle_gamma 90.00
loop_
_atom_site_label
_atom_site_fract_x
_atom_site_fract_y
_atom_site_fract_z
_atom_site_occupancy
Tb1 0.000 0.000 0.000 1
Tb2 0.000 0.335 0.000 1
Dy1 0.000 0.159 0.500 1
Al1 0.000 0.500 0.500 1
```

[2]
PmY12Ho7: relaxed, PBE.

Results
Fermi-level density of states = 30.57 states/eV/f.u.
ΔE to the lowest computed polymorph = 1.04 eV per formula unit
V = 33.4 Å³/atom
formation energy from the elements = 32.8 kJ/mol of atoms

CIF file:
```
data_PmY12Ho7
_chemical_formula_sum 'Pm3 Y36 Ho21'
_symmetry_space_group_name_H-M 'R -3'
_symmetry_Int_Tables_number 148
_symmetry_space_group_name_Hall '-R 3'
_cell_length_a 18.5271
_cell_length_b 18.5271
_cell_length_c 6.7453
_cell_angle_alpha 90.00
_cell_angle_beta 90.00
_cell_angle_gamma 120.00
loop_
_atom_site_label
_atom_site_fract_x
_atom_site_fract_y
_atom_site_fract_z
_atom_site_occupancy
Pm1 0.0000 0.0000 0.0000 1
Y1 0.0011 0.2124 0.2890 1
Y2 0.0079 0.5372 0.7364 1
Ho1 0.0000 0.0000 0.5000 1
Ho2 0.0096 0.1561 0.7813 1
```

[3]
Pa2TcAu: relaxed, PBE.

Results
Fermi-level density of states = 7.60 states/eV/f.u.
ΔE to the lowest computed polymorph = 2.41 eV per formula unit
V = 28.3 Å³/atom
formation energy from the elements = 34.2 kJ/mol of atoms

CIF file:
```
data_Pa2TcAu
_chemical_formula_sum 'Pa6 Tc3 Au3'
_symmetry_space_group_name_H-M 'R -3 m'
_symmetry_Int_Tables_number 166
_symmetry_space_group_name_Hall '-R 3 2"'
_cell_length_a 3.8454
_cell_length_b 3.8454
_cell_length_c 26.5104
_cell_angle_alpha 90.00
_cell_angle_beta 90.00
_cell_angle_gamma 120.00
loop_
_atom_site_label
_atom_site_fract_x
_atom_site_fract_y
_atom_site_fract_z
_atom_site_occupancy
Pa1 0.0000 0.0000 0.1082 1
Tc1 0.0000 0.0000 0.5000 1
Au1 0.0000 0.0000 0.0000 1
```

[4]
TlFe2NiAg: relaxed, PBE.

Results
Fermi-level density of states = 3.59 states/eV/f.u.
V = 19.2 Å³/atom
formation energy from the elements = 78.3 kJ/mol of atoms

CIF file:
```
data_TlFe2NiAg
_chemical_formula_sum 'Tl1 Fe2 Ni1 Ag1'
_symmetry_space_group_name_H-M 'P 4/m m m'
_symmetry_Int_Tables_number 123
_symmetry_space_group_name_Hall '-P 4 2'
_cell_length_a 4.440
_cell_length_b 4.440
_cell_length_c 4.862
_cell_angle_alpha 90.00
_cell_angle_beta 90.00
_cell_angle_gamma 90.00
loop_
_atom_site_label
_atom_site_fract_x
_atom_site_fract_y
_atom_site_fract_z
_atom_site_occupancy
Tl1 0.000 0.000 0.000 1
Fe1 0.000 0.500 0.500 1
Ni1 0.500 0.500 0.500 1
Ag1 0.500 0.500 0.000 1
```

Repeat the first record exactly.
Tb3Dy2Al: relaxed, PBE.

Results
Fermi-level density of states = 7.61 states/eV/f.u.
V = 28.8 Å³/atom
formation energy from the elements = -8.9 kJ/mol of atoms

CIF file:
```
data_Tb3Dy2Al
_chemical_formula_sum 'Tb6 Dy4 Al2'
_symmetry_space_group_name_H-M 'C m m m'
_symmetry_Int_Tables_number 65
_symmetry_space_group_name_Hall '-C 2 2'
_cell_length_a 4.810
_cell_length_b 14.899
_cell_length_c 4.820
_cell_angle_alpha 90.00
_cell_angle_beta 90.00
_cell_angle_gamma 90.00
loop_
_atom_site_label
_atom_site_fract_x
_atom_site_fract_y
_atom_site_fract_z
_atom_site_occupancy
Tb1 0.000 0.000 0.000 1
Tb2 0.000 0.335 0.000 1
Dy1 0.000 0.159 0.500 1
Al1 0.000 0.500 0.500 1
```

What is the Fermi-level density of states in the third record?
7.60 states/eV/f.u.

Which value of V does entry 4 give?
19.2 Å³/atom

Look up the Fermi-level density of states of the second one.
30.57 states/eV/f.u.